1.
YMnCrO5: relaxed, PBEsol.

a = 5.694 Å, b = 7.108 Å, c = 8.449 Å
α = 90.00°, β = 90.00°, γ = 90.00°
Positions (direct):
Y 0.500 0.366 0.327
Y 0.500 0.634 0.673
Y 0.500 0.134 0.827
Y 0.500 0.866 0.173
Mn 0.000 0.096 0.149
Mn 0.000 0.904 0.851
Mn 0.000 0.404 0.649
Mn 0.000 0.596 0.351
Cr 0.249 0.000 0.500
Cr 0.751 0.000 0.500
Cr 0.751 0.500 0.000
Cr 0.249 0.500 0.000
O 0.000 0.351 0.077
O 0.000 0.649 0.923
O 0.000 0.149 0.577
O 0.000 0.851 0.423
O 0.500 0.330 0.055
O 0.500 0.670 0.945
O 0.500 0.170 0.555
O 0.500 0.830 0.445
O 0.223 0.000 0.000
O 0.777 0.000 0.000
O 0.777 0.500 0.500
O 0.223 0.500 0.500
O 0.256 0.109 0.290
O 0.744 0.891 0.710
O 0.256 0.891 0.710
O 0.744 0.391 0.790
O 0.744 0.109 0.290
O 0.256 0.609 0.210
O 0.744 0.609 0.210
O 0.256 0.391 0.790

Output
space-group type = Pbam (55)
crystal system = orthorhombic
raw formation energy = -2419.1 meV/atom
V = 10.69 Å³ per atom
energy = -9.05 eV/atom



2.
HgAu2Br: relaxed, PBEsol.

a = 3.699 Å, b = 3.517 Å, c = 6.776 Å
α = 90.00°, β = 90.00°, γ = 90.00°
Positions (direct):
Au 0.000 0.000 0.802
Au 0.000 0.000 0.198
Hg 0.500 0.500 0.000
Br 0.500 0.000 0.500

Output
space-group type = Pmmm (47)
crystal system = orthorhombic
raw formation energy = 104.0 meV/atom
energy above the most stable polymorph in this dataset = 0 meV/atom
V = 22.04 Å³ per atom
energy = -2.47 eV/atom